Bi4Pb3Au3 | the Alexandria database | PBE | relaxed; space group = I-43d; E_tot = -36.7 eV/f.u.
1.0
-5.220 5.220 5.220
5.220 -5.220 5.220
5.220 5.220 -5.220
Bi Pb Au
8 6 6
direct
0.000 0.178 0.500
0.000 0.678 0.500
0.178 0.500 0.000
0.322 0.322 0.322
0.500 0.000 0.178
0.500 0.000 0.678
0.678 0.500 0.000
0.822 0.822 0.822
0.125 0.875 0.250
0.250 0.125 0.875
0.375 0.625 0.750
0.625 0.750 0.375
0.750 0.375 0.625
0.875 0.250 0.125
0.125 0.750 0.875
0.250 0.625 0.375
0.375 0.250 0.625
0.625 0.375 0.250
0.750 0.875 0.125
0.875 0.125 0.750

---

BiPbAu2 | the Alexandria database | PBE | relaxed; space group = I-42d; E_tot = -13.2 eV/f.u.
1.0
-3.269 3.269 6.383
3.269 -3.269 6.383
3.269 3.269 -6.383
Bi Pb Au
2 2 4
direct
0.000 0.000 0.000
0.750 0.250 0.500
0.250 0.750 0.500
0.500 0.500 0.000
0.117 0.625 0.992
0.375 0.367 0.492
0.633 0.125 0.008
0.875 0.883 0.508

---

BiPb3Au3 | the Alexandria database | PBE | relaxed; space group = R-3; distance to the lowest polymorph of the same formula = 0.00 eV/f.u.
1.0
4.348 2.510 6.121
-4.348 2.510 6.121
0.000 -5.021 6.121
Bi Pb Au
2 6 6
direct
0.167 0.167 0.167
0.833 0.833 0.833
0.117 0.689 0.393
0.311 0.607 0.883
0.393 0.117 0.689
0.607 0.883 0.311
0.689 0.393 0.117
0.883 0.311 0.607
0.058 0.433 0.796
0.204 0.942 0.567
0.433 0.796 0.058
0.567 0.204 0.942
0.796 0.058 0.433
0.942 0.567 0.204

---

Bi5Pb2Au4 | the Alexandria database | PBE | relaxed; space group = C2/m; distance to the lowest polymorph of the same formula = 0.00 eV/f.u.
1.0
10.045 -2.014 0.000
10.045 2.014 0.000
-0.778 0.000 7.768
Bi Pb Au
5 2 4
direct
0.000 0.000 0.000
0.259 0.259 0.668
0.342 0.342 0.157
0.658 0.658 0.843
0.741 0.741 0.332
0.091 0.091 0.467
0.909 0.909 0.533
0.395 0.395 0.831
0.479 0.479 0.309
0.521 0.521 0.691
0.605 0.605 0.169

---

BiPb2Au | the Alexandria database | PBE | relaxed; space group = I-42d; E_tot = -14.0 eV/f.u.
1.0
-3.206 3.206 7.553
3.206 -3.206 7.553
3.206 3.206 -7.553
Bi Pb Au
2 4 2
direct
0.000 0.000 0.000
0.750 0.250 0.500
0.170 0.625 0.045
0.375 0.420 0.545
0.580 0.125 0.955
0.875 0.830 0.455
0.250 0.750 0.500
0.500 0.500 0.000

---

Bi3Pb2Au4 | the Alexandria database | PBE | relaxed; space group = Cmce; distance to the lowest polymorph of the same formula = 0.30 eV/f.u.
1.0
3.851 -7.614 0.000
3.851 7.614 0.000
0.000 0.000 8.345
Bi Pb Au
6 4 8
direct
0.000 0.000 0.000
0.041 0.459 0.250
0.459 0.041 0.750
0.500 0.500 0.500
0.541 0.959 0.250
0.959 0.541 0.750
0.107 0.893 0.405
0.393 0.607 0.905
0.607 0.393 0.095
0.893 0.107 0.595
0.199 0.801 0.038
0.231 0.269 0.250
0.269 0.231 0.750
0.301 0.699 0.538
0.699 0.301 0.462
0.731 0.769 0.250
0.769 0.731 0.750
0.801 0.199 0.962

---

Bi3PbAu8 | the Alexandria database | PBE | relaxed; space group = R3m; E_tot = -42.3 eV/f.u.
1.0
2.860 1.651 9.365
-2.860 1.651 9.365
0.000 -3.302 9.365
Bi Pb Au
3 1 8
direct
0.000 0.000 0.000
0.123 0.123 0.123
0.498 0.498 0.498
0.624 0.624 0.624
0.061 0.061 0.561
0.061 0.561 0.061
0.062 0.561 0.561
0.311 0.311 0.311
0.561 0.061 0.061
0.561 0.062 0.561
0.561 0.561 0.062
0.811 0.811 0.811

---

Bi5Pb4Au2 | the Alexandria database | PBE | relaxed; space group = P2/m; E_tot = -40.7 eV/f.u.
1.0
8.018 0.000 0.000
0.000 4.276 0.000
-1.010 0.000 9.823
Bi Pb Au
5 4 2
direct
0.000 0.000 0.000
0.043 0.000 0.341
0.365 0.000 0.865
0.635 0.000 0.135
0.957 0.000 0.659
0.290 0.500 0.566
0.291 0.500 0.153
0.709 0.500 0.847
0.710 0.500 0.434
0.417 0.000 0.365
0.583 0.000 0.635